Record 1
A geometry-optimized PrGdZn6Sn3 structure. Source: the Open Quantum Materials Database, functional GGA-PBE.

The volume comes out at 21.322 Å³/atom. Its raw total energy is -2.9398 eV per atom.

The space group is P-6 (No. 174) and the conventional cell measures 7.9844, 7.9844 and 4.2482 Å, with angles of 90.00, 90.00 and 120.00 degrees. The inequivalent atoms are Pr at (0.0000, 0.0000, 0.0000), Gd at (0.6667, 0.3333, 0.0000), Zn at (0.0636, 0.6732, 0.5000), Zn at (0.1469, 0.4882, 0.0000) and Sn at (0.3416, 0.0622, 0.5000).

***

Record 2
A geometry-optimized Zn5Ge structure. Source: the Open Quantum Materials Database, functional GGA-PBE.

The volume comes out at 15.931 Å³/atom. Its raw total energy is -1.7220 eV per atom.

The space group is P-62m (No. 189) and the conventional cell measures 4.8187, 4.8187 and 4.7534 Å, with angles of 90.00, 90.00 and 120.00 degrees. The inequivalent atoms are Zn at (0.0000, 0.3443, 0.0000), Zn at (0.3333, 0.6667, 0.5000) and Ge at (0.0000, 0.0000, 0.5000).

***

Record 3
A geometry-optimized Lu2Re structure. Source: the Open Quantum Materials Database, functional GGA-PBE.

The volume comes out at 21.591 Å³/atom. Its raw total energy is -6.0213 eV per atom. The energy above the most stable polymorph in this dataset is 848 meV/atom.

The space group is Fd-3m (No. 227, origin choice 2) and the conventional cell measures 8.032, 8.032 and 8.032 Å, with angles of 90.00, 90.00 and 90.00 degrees. The inequivalent atoms are Lu at (0.000, 0.000, 0.000) and Re at (0.125, 0.125, 0.625).

***

Record 4
A geometry-optimized Pr2In2Ge structure. Source: the Open Quantum Materials Database, functional GGA-PBE.

The volume comes out at 27.998 Å³/atom. Its raw total energy is -4.5054 eV per atom.

The space group is Cmcm (No. 63) and the conventional cell measures 4.183, 28.384 and 4.716 Å, with angles of 90.00, 90.00 and 90.00 degrees. The inequivalent atoms are Pr at (0.000, 0.078, 0.250), Pr at (0.000, 0.295, 0.750), In at (0.000, 0.376, 0.250), In at (0.000, 0.475, 0.250) and Ge at (0.000, 0.187, 0.750).

***

Record 5
A geometry-optimized Zr2Ta4Co3C3 structure. Source: the Open Quantum Materials Database, functional GGA-PBE.

The volume comes out at 13.743 Å³/atom. Its raw total energy is -9.9142 eV per atom.

The space group is C2/c (No. 15) and the conventional cell measures 9.351, 5.392 and 13.474 Å, with angles of 90.00, 103.84 and 90.00 degrees. The inequivalent atoms are Zr at (0.041, 0.083, 0.380), Ta at (0.114, 0.411, 0.592), Ta at (0.222, 0.418, 0.908), Co at (0.000, 0.426, 0.750), Co at (0.243, 0.158, 0.750), C at (0.083, 0.250, 0.000) and C at (0.250, 0.250, 0.500).

***

Record 6
A geometry-optimized Sc5Co4Ni structure. Source: the Open Quantum Materials Database, functional GGA-PBE.

The volume comes out at 15.193 Å³/atom. Its raw total energy is -6.9542 eV per atom.

The space group is P4/mmm (No. 123) and the conventional cell measures 3.116, 3.116 and 15.644 Å, with angles of 90.00, 90.00 and 90.00 degrees. The inequivalent atoms are Sc at (0.000, 0.000, 0.000), Sc at (0.000, 0.000, 0.198), Sc at (0.000, 0.000, 0.397), Co at (0.500, 0.500, 0.099), Co at (0.500, 0.500, 0.299) and Ni at (0.500, 0.500, 0.500).

***

Record 7
A geometry-optimized KNdCdTe3 structure. Source: the Open Quantum Materials Database, functional GGA-PBE.

The volume comes out at 35.717 Å³/atom. Its raw total energy is -3.6743 eV per atom.

The space group is C2/m (No. 12) and the conventional cell measures 19.697, 4.587 and 9.792 Å, with angles of 90.00, 104.35 and 90.00 degrees. The inequivalent atoms are K at (0.138, 0.000, 0.069), Nd at (0.176, 0.000, 0.592), Cd at (0.019, 0.500, 0.719), Te at (0.000, 0.000, 0.500), Te at (0.000, 0.500, 0.000), Te at (0.161, 0.500, 0.362) and Te at (0.172, 0.500, 0.812).

***

Record 8
A geometry-optimized K2Ba6Er structure. Source: the Open Quantum Materials Database, functional GGA-PBE.

The volume comes out at 66.096 Å³/atom. Its raw total energy is -1.7216 eV per atom.

The space group is Fm-3m (No. 225) and the conventional cell measures 13.350, 13.350 and 13.350 Å, with angles of 90.00, 90.00 and 90.00 degrees. The inequivalent atoms are K at (0.250, 0.250, 0.250), Ba at (0.000, 0.000, 0.239) and Er at (0.000, 0.000, 0.500).

***

Record 9
A geometry-optimized DyEr2Al3AgPd2 structure. Source: the Open Quantum Materials Database, functional GGA-PBE.

The volume comes out at 20.141 Å³/atom. Its raw total energy is -4.9492 eV per atom.

The space group is Amm2 (No. 38) and the conventional cell measures 3.866, 12.762 and 7.349 Å, with angles of 90.00, 90.00 and 90.00 degrees. The inequivalent atoms are Dy at (0.000, 0.000, 0.000), Er at (0.000, 0.207, 0.621), Al at (0.500, 0.000, 0.670), Al at (0.500, 0.128, 0.287), Ag at (0.000, 0.000, 0.415) and Pd at (0.500, 0.168, 0.914).

***

Record 10
A geometry-optimized KSmSO structure. Source: the Open Quantum Materials Database, functional GGA-PBE.

The volume comes out at 26.063 Å³/atom. Its raw total energy is -5.7734 eV per atom. The energy above the most stable polymorph in this dataset is 217 meV/atom.

The space group is Pca2_1 (No. 29) and the conventional cell measures 7.874, 9.354 and 5.662 Å, with angles of 90.00, 90.00 and 90.00 degrees. The inequivalent atoms are K at (0.113, 0.091, 0.000), Sm at (0.055, 0.652, 0.997), S at (0.092, 0.622, 0.498) and O at (0.057, 0.152, 0.497).

***

Record 11
A geometry-optimized Na2Mo15Se19 structure. Source: the Open Quantum Materials Database, functional GGA-PBE.

The volume comes out at 22.279 Å³/atom. Its raw total energy is -7.0021 eV per atom.

The space group is R-3c (No. 167, hexagonal axes) and the conventional cell measures 9.7252, 9.7252 and 58.7517 Å, with angles of 90.00, 90.00 and 120.00 degrees. The inequivalent atoms are Na at (0.0000, 0.0000, 0.1137), Mo at (0.0000, 0.1598, 0.2500), Mo at (0.0136, 0.1641, 0.7109), Mo at (0.0210, 0.1686, 0.9804), Se at (0.0000, 0.0000, 0.0543), Se at (0.0000, 0.0000, 0.1763), Se at (0.0000, 0.3091, 0.7500), Se at (0.0062, 0.3791, 0.6831) and Se at (0.0071, 0.3722, 0.9521).

***

Record 12
A geometry-optimized HfCuTe2 structure. Source: the Open Quantum Materials Database, functional GGA-PBE.

The volume comes out at 23.220 Å³/atom. Its raw total energy is -5.2981 eV per atom.

The space group is P6_3/mmc (No. 194) and the conventional cell measures 3.8470, 3.8470 and 14.4938 Å, with angles of 90.00, 90.00 and 120.00 degrees. The inequivalent atoms are Hf at (0.3333, 0.6667, 0.2500), Cu at (0.0000, 0.0000, 0.0000) and Te at (0.3333, 0.6667, 0.6188).

***

Record 13
A geometry-optimized CdIr2S4 structure. Source: the Open Quantum Materials Database, functional GGA-PBE.

The volume comes out at 19.425 Å³/atom. Its raw total energy is -5.4772 eV per atom.

The space group is I4_1/amd (No. 141, origin choice 2) and the conventional cell measures 7.266, 7.266 and 10.303 Å, with angles of 90.00, 90.00 and 90.00 degrees. The inequivalent atoms are Cd at (0.000, 0.250, 0.375), Ir at (0.000, 0.000, 0.000) and S at (0.000, 0.038, 0.770).

***

Record 14
A geometry-optimized Ta4GaFe structure. Source: the Open Quantum Materials Database, functional GGA-PBE.

The volume comes out at 16.514 Å³/atom. Its raw total energy is -9.9857 eV per atom.

The space group is P4/mcc (No. 124) and the conventional cell measures 6.236, 6.236 and 5.095 Å, with angles of 90.00, 90.00 and 90.00 degrees. The inequivalent atoms are Ta at (0.146, 0.327, 0.000), Ga at (0.500, 0.500, 0.250) and Fe at (0.000, 0.000, 0.250).

***

Record 15
A geometry-optimized Gd2YCo2B2P3 structure. Source: the Open Quantum Materials Database, functional GGA-PBE.

The volume comes out at 16.500 Å³/atom. Its raw total energy is -6.8439 eV per atom.

The space group is I4/mmm (No. 139) and the conventional cell measures 3.883, 3.883 and 21.887 Å, with angles of 90.00, 90.00 and 90.00 degrees. The inequivalent atoms are Gd at (0.000, 0.000, 0.139), Y at (0.000, 0.000, 0.500), Co at (0.000, 0.500, 0.250), B at (0.000, 0.000, 0.285), P at (0.000, 0.000, 0.000) and P at (0.000, 0.000, 0.375).

***

Record 16
A geometry-optimized Cd2NiSnAs4 structure. Source: the Open Quantum Materials Database, functional GGA-PBE.

The volume comes out at 26.115 Å³/atom. Its raw total energy is -3.7574 eV per atom.

The space group is I-4 (No. 82) and the conventional cell measures 6.010, 6.010 and 11.569 Å, with angles of 90.00, 90.00 and 90.00 degrees. The inequivalent atoms are Cd at (0.000, 0.000, 0.000), Cd at (0.000, 0.500, 0.250), Ni at (0.000, 0.000, 0.500), Sn at (0.000, 0.500, 0.750) and As at (0.218, 0.220, 0.612).

***

Record 17
A geometry-optimized Tl2HgPtBr6 structure. Source: the Open Quantum Materials Database, functional GGA-PBE.

The volume comes out at 31.916 Å³/atom. Its raw total energy is -2.5970 eV per atom.

The space group is Fm-3m (No. 225) and the conventional cell measures 10.848, 10.848 and 10.848 Å, with angles of 90.00, 90.00 and 90.00 degrees. The inequivalent atoms are Tl at (0.250, 0.250, 0.250), Hg at (0.000, 0.000, 0.000), Pt at (0.000, 0.000, 0.500) and Br at (0.000, 0.000, 0.266).

***

Record 18
A geometry-optimized Er2HfC3 structure. Source: the Open Quantum Materials Database, functional GGA-PBE.

The volume comes out at 14.511 Å³/atom. Its raw total energy is -8.1160 eV per atom.

The space group is P-3m1 (No. 164) and the conventional cell measures 3.4317, 3.4317 and 8.5373 Å, with angles of 90.00, 90.00 and 120.00 degrees. The inequivalent atoms are Er at (0.3333, 0.6667, 0.3274), Hf at (0.0000, 0.0000, 0.0000), C at (0.0000, 0.0000, 0.5000) and C at (0.3333, 0.6667, 0.8530).

***

Record 19
A geometry-optimized TbInGeTe3 structure. Source: the Open Quantum Materials Database, functional GGA-PBE.

The volume comes out at 33.396 Å³/atom. Its raw total energy is -4.1315 eV per atom.

The space group is Cmcm (No. 63) and the conventional cell measures 4.625, 14.934 and 11.603 Å, with angles of 90.00, 90.00 and 90.00 degrees. The inequivalent atoms are Tb at (0.000, 0.000, 0.000), In at (0.000, 0.252, 0.250), Ge at (0.000, 0.467, 0.750), Te at (0.000, 0.084, 0.750) and Te at (0.000, 0.360, 0.548).